# 1
## Pm2NdTh2 (PBE-GGA)

Data for a geometry-optimized Pm2NdTh2 structure.

```
Pm2NdTh2
1.0
4.760 0.000 0.000
0.000 4.760 0.000
-2.380 -2.380 7.945
Pm Nd Th
2 1 2
Cartesian
0.000 0.000 6.391 Pm
2.380 2.380 1.554 Pm
0.000 0.000 0.000 Nd
2.380 0.000 3.973 Th
0.000 2.380 3.973 Th
```

## Properties
As for the symmetry: No. 139. The total energy is -27.2 eV per cell. The energy of formation from the pure elements comes out at 0.373 eV per atom. As for the distance to the lowest polymorph of the same formula: 345 meV/atom. The calculation puts the density of states at the Fermi level at 8.3 states/eV per cell.


# 2
## BaNb3C (PBE-GGA)

Data for a geometry-optimized BaNb3C structure.

```
BaNb3C
1.0
4.553 0.000 0.000
0.000 4.553 0.000
0.000 0.000 4.553
C Nb Ba
1 3 1
Cartesian
0.000 0.000 0.000 C
0.000 2.277 0.000 Nb
0.000 0.000 2.277 Nb
2.277 0.000 0.000 Nb
2.277 2.277 2.277 Ba
```

## Properties
As for the symmetry: No. 221. The total energy is -38.0 eV per cell. The energy of formation from the pure elements comes out at 0.678 eV per atom. As for the distance to the lowest polymorph of the same formula: 0 meV/atom. The calculation puts the density of states at the Fermi level at 4.2 states/eV per cell.


# 3
## Rb2LiTiV (PBE-GGA)

Data for a geometry-optimized Rb2LiTiV structure.

```
Rb2LiTiV
1.0
-3.824 -3.568 4.647
3.472 -2.623 0.843
2.071 4.368 5.058
Ti Li Rb V
1 1 2 1
Cartesian
1.736 -1.311 0.422 Ti
0.860 -0.912 5.274 Li
1.035 2.184 2.529 Rb
-1.912 -1.784 2.323 Rb
0.000 0.000 0.000 V
```

## Properties
As for the symmetry: No. 123. The total energy is -14.9 eV per cell. The energy of formation from the pure elements comes out at 1.199 eV per atom. The calculation puts the density of states at the Fermi level at 5.3 states/eV per cell.